VASP calculation (PBE with a Hubbard U) on a geometry-optimized Fe2BiSbO6 structure.

a b c (Å): 5.5016 5.5156 5.8577
angles (deg): 62.07 62.47 60.20
Space group P1 (No. 1)
Asymmetric unit:
Fe: 0.0000 0.0000 0.0000 x1
Fe: 0.4894 0.4917 0.5326 x1
Bi: 0.2114 0.2035 0.3715 x1
Sb: 0.6932 0.6959 0.9116 x1
O: 0.0685 0.7777 0.7183 x1
O: 0.3131 0.6287 0.1941 x1
O: 0.4197 0.0728 0.7251 x1
O: 0.6343 0.8772 0.1788 x1
O: 0.7640 0.4366 0.7166 x1
O: 0.8740 0.3095 0.1797 x1

For the total magnetization, the calculation gives 8.01 μB/cell. The value obtained for the total DFT energy (no corrections) is -6.274 eV per atom.